A plane-wave DFT calculation with GGA-PBE was carried out for an optimized crystal structure of LiTc2Se.

Structure (POSCAR):
```
LiTc2Se
1.0
4.359 -0.008 -0.028
3.326 2.818 -0.028
0.744 0.272 4.738
Tc Se Li
2 1 1
direct
0.749 0.749 0.740
0.996 0.996 0.980
0.249 0.249 0.299
0.505 0.505 0.480
```

raw total energy	-6.38	eV/atom
space-group type	Cm
spin magnetization	0.000	μB per formula unit